Entry 1:
A plane-wave DFT calculation with meta-GGA SCAN was carried out for a PBEsol-optimized structure of HfAgI3.

density	6.46	Mg/m³
total magnetization	0.0	μB per formula unit
formation energy (no corrections)	0.03	eV/atom
electronic total energy	-40.827	eV/atom

```
HfAgI3
1.0
-1.368 5.107 -1.706
-0.595 -1.893 -5.189
-5.351 -1.095 1.013
I Ag Hf
3 1 1
Direct
0.500 0.000 0.000
0.000 0.500 0.000
0.000 0.000 0.500
0.500 0.500 0.500
0.000 0.000 0.000
```


Entry 2:
A plane-wave DFT calculation with meta-GGA SCAN was carried out for a PBEsol-optimized structure of HfNiAgI2.

density	8.10	Mg/m³
total magnetization	0.0	μB per formula unit
formation energy (no corrections)	0.64	eV/atom
electronic total energy	-36.101	eV/atom

```
HfNiAgI2
1.0
4.801 0.000 0.000
0.000 5.057 0.000
0.000 0.000 5.057
Ni Ag I Hf
1 1 2 1
Direct
0.000 0.000 0.000
0.500 0.500 0.500
0.000 0.000 0.500
0.000 0.500 0.000
0.500 0.000 0.000
```


Entry 3:
A plane-wave DFT calculation with meta-GGA SCAN was carried out for a PBEsol-optimized structure of HfAgSb2I.

density	6.60	Mg/m³
total magnetization	0.0	μB per formula unit
formation energy (no corrections)	0.41	eV/atom
electronic total energy	-40.649	eV/atom

```
HfAgSb2I
1.0
-0.666 1.669 -5.173
2.673 -4.437 -1.776
-4.760 -2.757 -0.276
Sb Hf I Ag
2 1 1 1
Direct
0.000 0.500 0.000
0.500 0.000 0.000
0.000 0.000 0.000
0.000 0.000 0.500
0.500 0.500 0.500
```


Entry 4:
A plane-wave DFT calculation with meta-GGA SCAN was carried out for a PBEsol-optimized structure of Hf2AgSnI.

density	8.74	Mg/m³
total magnetization	0.0	μB per formula unit
formation energy (no corrections)	0.96	eV/atom
electronic total energy	-44.911	eV/atom

```
Hf2AgSnI
1.0
-3.649 -2.526 -1.963
3.086 -4.271 -0.242
-1.602 -1.431 4.818
I Hf Ag Sn
1 2 1 1
Direct
0.500 0.500 0.500
0.000 0.000 0.500
0.000 0.500 0.000
0.000 0.000 0.000
0.500 0.000 0.000
```